The following is a PBE-GGA calculation of a relaxed structure of CsNpTlS3, from the Alexandria database.

For the formation energy from raw total energies, the calculation gives -1019.4 meV/atom. The density of states at the Fermi level is 1.06 states/eV per atom. The total energy comes out at -138.6 eV/cell.

It has space group C2/c (No. 15), with a = 7.735 Å, b = 15.297 Å, c = 7.287 Å, α = 90.00°, β = 100.24° and γ = 90.00°. The asymmetric unit holds Cs at (0.000, 0.247, 0.250), Np at (0.000, 0.446, 0.750), Tl at (0.000, 0.079, 0.750), S at (0.000, 0.281, 0.750) and S at (0.214, 0.462, 0.503).